PmDySc3: relaxed, PBE-GGA.

Cell lengths 8.767, 5.988, 11.661 Å; angles 90.00, 114.60, 90.00 degrees
Element x y z (fractional)
Pm 0.157 0.167 0.103
Pm 0.157 0.333 0.603
Pm 0.843 0.667 0.397
Pm 0.843 0.833 0.897
Dy 0.259 0.661 0.000
Dy 0.259 0.839 0.500
Dy 0.741 0.161 0.500
Dy 0.741 0.339 0.000
Sc 0.052 0.666 0.204
Sc 0.052 0.834 0.704
Sc 0.352 0.161 0.899
Sc 0.352 0.339 0.399
Sc 0.448 0.676 0.800
Sc 0.448 0.824 0.300
Sc 0.552 0.176 0.700
Sc 0.552 0.324 0.200
Sc 0.648 0.661 0.601
Sc 0.648 0.839 0.101
Sc 0.948 0.166 0.296
Sc 0.948 0.334 0.796

E above lowest polymorph: 0 meV per atom
SG: P2_1/c (14)